The following is a DFT calculation (SCAN) of Ta3SiIr at its PBEsol-relaxed geometry.

a = 4.7799 Å, b = 4.7799 Å, c = 4.7799 Å
α = 90.00°, β = 90.00°, γ = 90.00°
Closest atoms and distances in Å follow each position.
Fractional coordinates of all 5 atoms:
1 Ta 0.0000 0.0000 0.5000  2 Ir 2.39
2 Ta 0.0000 0.5000 0.0000  2 Ir 2.39
3 Ta 0.5000 0.0000 0.0000  2 Ir 2.39
4 Ir 0.0000 0.0000 0.0000  6 Ta 2.39
5 Si 0.5000 0.5000 0.5000  12 Ta 3.38

Formation energy from raw total energies in eV/atom: 1.148
E_tot in eV per formula unit: -275.13